Version P
The following is a PBE calculation of crystalline Tl2SiAs at its relaxed geometry, from Alexandria.

Cell and atoms, written as CIF:
```
data_Tl2SiAs
_cell_length_a 4.355
_cell_length_b 4.351
_cell_length_c 5.231
_cell_angle_alpha 90.00
_cell_angle_beta 90.00
_cell_angle_gamma 90.00
_space_group_name_H-M_alt 'P 1'
_space_group_IT_number 1
_space_group_name_Hall 'P 1'
loop_
_atom_site_label
_atom_site_fract_x
_atom_site_fract_y
_atom_site_fract_z
As1 0.500 0.000 0.500
Si1 0.000 0.500 0.500
Tl1 0.500 0.500 0.000
Tl2 0.000 0.000 0.000
```

Properties
ρ: 8.574 g cm⁻³

***

Version Q
The following is a PBE calculation of crystalline Tl2SiAs at its relaxed geometry, from Alexandria.

Cell and atoms, written as CIF:
```
data_Tl2SiAs
_cell_length_a 10.680
_cell_length_b 10.680
_cell_length_c 10.680
_cell_angle_alpha 17.61
_cell_angle_beta 17.61
_cell_angle_gamma 17.61
_space_group_name_H-M_alt 'P 1'
_space_group_IT_number 1
_space_group_name_Hall 'P 1'
loop_
_atom_site_label
_atom_site_fract_x
_atom_site_fract_y
_atom_site_fract_z
Tl1 0.499 0.499 0.499
Tl2 0.001 0.001 0.001
Si1 0.750 0.750 0.750
As1 0.250 0.250 0.250
```

Properties
ρ: 8.734 g cm⁻³

***

Quick one: most stable of them? version P